# ZrNb2VSb

An optimized crystal structure of ZrNb2VSb (PBE, the Alexandria database).

```
data_ZrNb2VSb
_chemical_formula_sum 'Zr1 Nb2 V1 Sb1'
_symmetry_space_group_name_H-M 'P 4/m m m'
_symmetry_Int_Tables_number 123
_symmetry_space_group_name_Hall '-P 4 2'
_cell_length_a 5.046
_cell_length_b 5.046
_cell_length_c 4.725
_cell_angle_alpha 90.00
_cell_angle_beta 90.00
_cell_angle_gamma 90.00
loop_
_atom_site_label
_atom_site_fract_x
_atom_site_fract_y
_atom_site_fract_z
_atom_site_occupancy
Zr1 0.000 0.000 0.000 1
Nb1 0.000 0.500 0.500 1
V1 0.500 0.500 0.000 1
Sb1 0.500 0.500 0.500 1
```

## Properties
**E**: -7.179 eV/atom
**E_form (uncorrected)**: 1.207 eV per atom